{"formula": "MnO", "functional": "PBE+U", "state": "optimized geometry", "cell": [[-0.191, 3.118, 0.665], [-2.616, -1.608, -0.872], [0.511, -2.103, 2.347]], "species": ["O", "Mn"], "frac_coords": [[0.000, 0.500, 0.500], [0.000, 0.000, 0.000]], "e_tot_ev_per_atom": -7.823}